# PBE Be5Fe, relaxed
# energy of formation	-0.62	eV/f.u.
# spin magnetization	1.62	Bohr magnetons per cell
data_Be5Fe
_chemical_formula_sum 'Be5 Fe1'
_space_group_name_H-M_alt 'P 1'
_space_group_IT_number 1
_space_group_name_Hall 'P 1'
_cell_length_a 4.121
_cell_length_b 4.121
_cell_length_c 4.121
_cell_angle_alpha 60.00
_cell_angle_beta 60.00
_cell_angle_gamma 60.00
loop_
_atom_site_label
_atom_site_fract_x
_atom_site_fract_y
_atom_site_fract_z
_atom_site_occupancy
Be1 0.000 0.000 0.000 1
Be2 0.376 0.376 0.376 1
Be3 0.376 0.376 0.872 1
Be4 0.376 0.872 0.376 1
Be5 0.872 0.376 0.376 1
Fe1 0.750 0.750 0.750 1


# PBE BeNbBiCl2, relaxed
# spin magnetization	2.02	Bohr magnetons per cell
# formation energy without anion corrections	0.1454	eV per atom
data_BeNbBiCl2
_chemical_formula_sum 'Be1 Nb1 Bi1 Cl2'
_space_group_name_H-M_alt 'P 1'
_space_group_IT_number 1
_space_group_name_Hall 'P 1'
_cell_length_a 4.150
_cell_length_b 4.150
_cell_length_c 8.329
_cell_angle_alpha 90.00
_cell_angle_beta 90.00
_cell_angle_gamma 90.00
loop_
_atom_site_label
_atom_site_fract_x
_atom_site_fract_y
_atom_site_fract_z
_atom_site_occupancy
Be1 0.000 0.000 0.000 1
Nb1 0.000 0.000 0.500 1
Bi1 0.500 0.500 0.500 1
Cl1 0.000 0.500 0.000 1
Cl2 0.500 0.000 0.000 1


# PBE CrFeAsRu, relaxed
# energy of formation	0.21	eV/f.u.
# spin magnetization	2.21	Bohr magnetons per cell
data_CrFeAsRu
_chemical_formula_sum 'Cr1 Fe1 As1 Ru1'
_space_group_name_H-M_alt 'P 1'
_space_group_IT_number 1
_space_group_name_Hall 'P 1'
_cell_length_a 4.175
_cell_length_b 4.175
_cell_length_c 4.175
_cell_angle_alpha 60.00
_cell_angle_beta 60.00
_cell_angle_gamma 60.00
loop_
_atom_site_label
_atom_site_fract_x
_atom_site_fract_y
_atom_site_fract_z
_atom_site_occupancy
Cr1 0.000 0.000 0.000 1
Fe1 0.750 0.750 0.750 1
As1 0.250 0.250 0.250 1
Ru1 0.500 0.500 0.500 1


Number 1: DFT total energy -4.619 eV/atom. Number 2: DFT total energy -4.129 eV/atom. Number 3: DFT total energy -7.950 eV/atom.